Material: LiCe2Sb4
Method: DFT, PBE
State: optimized geometry

Results
- raw formation energy (eV per atom) = -0.751
- magnetization (Bohr magnetons per cell) = 0.699

The structure in POSCAR format:
```
LiCe2Sb4
1.0
4.400 0.000 0.000
0.000 4.400 0.000
0.000 0.000 9.648
Li Ce Sb
1 2 4
Direct
0.000 0.000 0.000
0.000 0.500 0.758
0.500 0.000 0.242
0.000 0.000 0.500
0.000 0.500 0.155
0.500 0.000 0.845
0.500 0.500 0.500
```